1.
Crystalline Ta3H3Rh at its relaxed geometry. Source: Alexandria via LeMat-Bulk, functional GGA-PBE. Values from VASP.

Summary:
As for the total energy: -7.75 eV/atom.

Quantum ESPRESSO input file:
```
&SYSTEM
  ibrav = 0, nat = 14, ntyp = 3
/
ATOMIC_SPECIES
H 1.01 H.upf
Rh 102.91 Rh.upf
Ta 180.95 Ta.upf
CELL_PARAMETERS angstrom
5.362 0.000 0.000
0.000 5.362 0.000
0.000 0.000 5.362
ATOMIC_POSITIONS angstrom
H 0.000 2.681 1.340
Rh 0.000 0.000 0.000
H 2.681 1.340 0.000
Ta 2.681 0.000 4.021
Rh 2.681 2.681 2.681
H 1.340 0.000 2.681
H 2.681 4.021 0.000
Ta 1.340 2.681 0.000
H 4.021 0.000 2.681
Ta 4.021 2.681 0.000
Ta 0.000 1.340 2.681
Ta 0.000 4.021 2.681
H 0.000 2.681 4.021
Ta 2.681 0.000 1.340
```


2.
Crystalline Tb8CeY2 at its relaxed geometry. Source: Alexandria via LeMat-Bulk, functional GGA-PBE. Values from VASP.

Summary:
As for the formation enthalpy at 0 K: 0.178 eV per atom. As for the energy above the most stable polymorph in this dataset: 0.141 eV per atom.

Quantum ESPRESSO input file:
```
&SYSTEM
  ibrav = 0, nat = 11, ntyp = 3
/
ATOMIC_SPECIES
Y 88.91 Y.upf
Tb 158.93 Tb.upf
Ce 140.12 Ce.upf
CELL_PARAMETERS angstrom
-2.683 -1.806 4.548
6.555 -7.817 0.128
9.143 -2.533 3.754
ATOMIC_POSITIONS angstrom
Y 2.443 -4.288 4.506
Tb 7.936 -6.081 3.199
Y 10.572 -7.868 3.923
Tb 4.455 -5.535 1.796
Tb 2.303 -2.348 1.778
Tb 8.559 -6.621 6.634
Tb 5.078 -6.075 5.230
Tb 7.344 -9.101 4.932
Tb 5.670 -3.054 3.498
Ce 0.000 0.000 0.000
Tb 10.711 -9.808 6.651
```


3.
Crystalline BaGd2Mg at its relaxed geometry. Source: Alexandria via LeMat-Bulk, functional GGA-PBE. Values from VASP.

Summary:
As for the formation enthalpy at 0 K: 0.083 eV per atom. As for the energy above the most stable polymorph in this dataset: 0.000 eV per atom.

Quantum ESPRESSO input file:
```
&SYSTEM
  ibrav = 0, nat = 4, ntyp = 3
/
ATOMIC_SPECIES
Gd 157.25 Gd.upf
Ba 137.33 Ba.upf
Mg 24.30 Mg.upf
CELL_PARAMETERS angstrom
-3.097 2.262 -0.620
-1.703 -2.875 -1.983
-3.976 -3.225 8.090
ATOMIC_POSITIONS angstrom
Gd -0.740 -0.600 1.506
Gd -3.236 -2.625 6.584
Ba -4.388 -1.919 2.743
Mg -2.400 -0.306 -1.302
```


4.
Crystalline AuSe3 at its relaxed geometry. Source: Alexandria via LeMat-Bulk, functional GGA-PBE. Values from VASP.

Summary:
As for the formation energy without anion corrections: 0.31 eV/atom.

Quantum ESPRESSO input file:
```
&SYSTEM
  ibrav = 0, nat = 8, ntyp = 2
/
ATOMIC_SPECIES
Se 78.96 Se.upf
Au 196.97 Au.upf
CELL_PARAMETERS angstrom
-6.315 0.922 -4.042
1.066 -6.355 3.944
-1.591 1.486 2.824
ATOMIC_POSITIONS angstrom
Se -2.370 -0.398 0.000
Se -5.454 0.053 -1.974
Au -5.048 -0.389 0.738
Se -4.470 -3.549 2.726
Se -4.934 -3.051 -0.048
Se -1.386 -3.999 4.701
Se -1.906 -0.895 2.774
Au -1.792 -3.558 1.988
```


5.
Crystalline MgTe2Au at its relaxed geometry. Source: Alexandria via LeMat-Bulk, functional GGA-PBE. Values from VASP.

Summary:
As for the formation energy without anion corrections: -0.04 eV/atom.

Quantum ESPRESSO input file:
```
&SYSTEM
  ibrav = 0, nat = 4, ntyp = 3
/
ATOMIC_SPECIES
Mg 24.30 Mg.upf
Au 196.97 Au.upf
Te 127.60 Te.upf
CELL_PARAMETERS angstrom
3.973 0.000 0.000
0.000 3.973 0.000
0.000 0.000 6.255
ATOMIC_POSITIONS angstrom
Mg 1.986 1.986 4.691
Au 1.986 1.986 1.564
Te 0.000 0.000 3.129
Te 0.000 0.000 6.254
```


6.
Crystalline MnRe2Sb at its relaxed geometry. Source: Alexandria via LeMat-Bulk, functional GGA-PBE. Values from VASP.

Summary:
As for the formation energy without anion corrections: 0.43 eV/atom.

Quantum ESPRESSO input file:
```
&SYSTEM
  ibrav = 0, nat = 4, ntyp = 3
/
ATOMIC_SPECIES
Sb 121.76 Sb.upf
Re 186.21 Re.upf
Mn 54.94 Mn.upf
CELL_PARAMETERS angstrom
5.179 -0.001 -0.039
2.312 4.635 0.039
-3.277 -3.074 2.577
ATOMIC_POSITIONS angstrom
Sb 3.693 2.285 0.000
Re 2.810 -0.387 1.269
Re 0.050 0.031 0.000
Mn 1.406 1.949 1.308
```


7.
Crystalline MnCrCuAu at its relaxed geometry. Source: Alexandria via LeMat-Bulk, functional GGA-PBE. Values from VASP.

Summary:
As for the formation enthalpy at 0 K: 0.253 eV per atom. As for the energy above the most stable polymorph in this dataset: 0.213 eV per atom.

Quantum ESPRESSO input file:
```
&SYSTEM
  ibrav = 0, nat = 4, ntyp = 4
/
ATOMIC_SPECIES
Mn 54.94 Mn.upf
Cr 52.00 Cr.upf
Cu 63.55 Cu.upf
Au 196.97 Au.upf
CELL_PARAMETERS angstrom
2.787 0.001 0.000
1.392 2.414 -0.002
1.375 0.804 8.182
ATOMIC_POSITIONS angstrom
Mn 3.600 1.881 1.340
Cr 2.200 2.684 2.848
Cu 3.592 1.882 4.928
Au 2.192 1.074 7.195
```


8.
Crystalline Y3Tl5Se12 at its relaxed geometry. Source: Alexandria via LeMat-Bulk, functional GGA-PBE. Values from VASP.

Summary:
As for the formation energy without anion corrections: -0.71 eV/atom.

Quantum ESPRESSO input file:
```
&SYSTEM
  ibrav = 0, nat = 80, ntyp = 3
/
ATOMIC_SPECIES
Se 78.96 Se.upf
Tl 204.38 Tl.upf
Y 88.91 Y.upf
CELL_PARAMETERS angstrom
-3.341 10.552 -9.443
-7.703 -11.936 -3.141
-3.160 4.397 13.504
ATOMIC_POSITIONS angstrom
Se -10.286 6.064 2.397
Tl -5.699 0.910 4.901
Tl -3.574 1.523 -2.638
Tl -1.580 2.199 6.752
Se -5.993 -0.721 9.333
Se -4.317 5.235 3.569
Y -4.676 8.840 -5.279
Se -8.200 0.333 -1.977
Se -6.444 12.377 2.681
Tl -6.233 10.269 4.341
Se -9.535 3.792 4.422
Se -10.132 -0.740 4.980
Tl -5.522 -0.692 -6.292
Se -2.352 -0.133 1.723
Se -8.331 -3.939 0.060
Se -9.886 -2.222 -2.649
Se -3.704 6.253 -6.574
Se -9.984 -1.946 -9.922
Tl -1.670 5.276 -4.721
Tl -10.630 1.490 3.559
Se -10.904 -4.095 4.058
Se -7.974 8.243 4.015
Y -5.108 2.182 9.850
Tl -8.505 2.103 -3.981
Tl -10.107 5.071 -0.097
Y -6.857 -2.404 -2.128
Se -7.264 5.989 6.073
Tl -4.586 5.763 6.194
Se -4.495 2.555 -0.330
Y -7.346 5.417 3.048
Se -9.709 0.458 1.251
Se -3.918 -3.051 -1.477
Se -3.023 0.786 4.644
Y -5.789 3.988 -6.572
Se -6.939 -2.976 -5.152
Tl -3.250 7.474 2.031
Y -11.221 0.218 -1.390
Se -6.692 1.571 7.313
Se -5.873 6.952 0.860
Y -5.199 5.260 -1.623
Se -7.433 -3.859 7.304
Se -4.071 3.753 -4.060
Se -7.127 4.410 -3.831
Tl -7.970 -7.256 -3.421
Se -4.668 -0.779 -3.502
Se -2.849 5.142 0.322
Se -7.759 -9.364 -1.761
Tl -4.096 -2.058 1.018
Y -2.983 2.795 2.311
Tl -6.824 8.997 -0.608
Se -11.851 3.146 -0.803
Se -7.519 4.379 0.154
Y -9.095 0.831 -8.930
Y -8.414 -0.975 7.492
Se -10.500 -3.240 7.494
Se -7.512 1.441 -6.393
Se -3.559 3.987 7.937
Tl 0.000 0.000 0.000
Tl -9.618 -2.750 -5.274
Se -6.004 2.680 2.897
Tl -7.102 1.506 0.460
Se -10.644 -0.974 -7.016
Se -5.733 11.426 -0.219
Y -9.527 -5.827 6.199
Se -11.181 2.227 -3.723
Se -4.220 4.959 10.842
Se -8.471 -8.413 1.140
Se -6.685 -1.366 0.766
Se -6.770 6.872 -6.384
Tl -5.431 -3.769 5.181
Se -6.229 -5.230 -3.094
Tl -7.380 -5.984 1.528
Se -11.354 -2.129 0.598
Se -7.076 -1.397 4.751
Tl -3.851 -5.968 -1.570
Se -8.211 3.734 -8.413
Se -3.300 7.108 -3.137
Se -6.356 7.780 -2.962
Y -9.005 -2.247 2.543
Se -7.848 -4.767 3.882
```